# LiTb2CuO5, relaxed, DFT GGA-PBE
data_LiTb2CuO5
_chemical_formula_sum 'Li2 Tb4 Cu2 O10'
_symmetry_space_group_name_H-M 'P 1'
_symmetry_Int_Tables_number 1
_cell_length_a 6.489
_cell_length_b 6.489
_cell_length_c 5.516
_cell_angle_alpha 90.00
_cell_angle_beta 90.00
_cell_angle_gamma 90.00
loop_
_symmetry_equiv_pos_as_xyz
'x,y,z'
loop_
_atom_site_label
_atom_site_fract_x
_atom_site_fract_y
_atom_site_fract_z
Li1 0.000 0.000 0.000
Li2 0.500 0.500 0.000
Tb1 0.176 0.324 0.500
Tb2 0.324 0.824 0.500
Tb3 0.676 0.176 0.500
Tb4 0.824 0.676 0.500
Cu1 0.000 0.500 0.000
Cu2 0.500 0.000 0.000
O1 0.000 0.000 0.500
O2 0.135 0.635 0.243
O3 0.135 0.635 0.757
O4 0.365 0.135 0.243
O5 0.365 0.135 0.757
O6 0.500 0.500 0.500
O7 0.635 0.865 0.243
O8 0.635 0.865 0.757
O9 0.865 0.365 0.243
O10 0.865 0.365 0.757
# SG   P4/mbm
# Formation energy from raw total energies   -2.3016 eV/atom

---

# LiCuTc2O8, relaxed, DFT GGA-PBE
data_LiCuTc2O8
_chemical_formula_sum 'Li1 Cu1 Tc2 O8'
_symmetry_space_group_name_H-M 'P 1'
_symmetry_Int_Tables_number 1
_cell_length_a 5.786
_cell_length_b 5.786
_cell_length_c 5.780
_cell_angle_alpha 90.00
_cell_angle_beta 90.00
_cell_angle_gamma 120.00
loop_
_symmetry_equiv_pos_as_xyz
'x,y,z'
loop_
_atom_site_label
_atom_site_fract_x
_atom_site_fract_y
_atom_site_fract_z
Li1 0.000 0.000 0.000
Cu1 0.000 0.000 0.500
Tc1 0.333 0.667 0.184
Tc2 0.667 0.333 0.816
O1 0.164 0.329 0.273
O2 0.164 0.836 0.273
O3 0.329 0.164 0.727
O4 0.333 0.667 0.887
O5 0.667 0.333 0.113
O6 0.671 0.836 0.273
O7 0.836 0.164 0.727
O8 0.836 0.671 0.727
# SG   P-3m1
# Formation energy from raw total energies   -1.3373 eV/atom

---

# Li5Cu3Te2O10, relaxed, DFT GGA-PBE
data_Li5Cu3Te2O10
_chemical_formula_sum 'Li5 Cu3 Te2 O10'
_symmetry_space_group_name_H-M 'P 1'
_symmetry_Int_Tables_number 1
_cell_length_a 5.573
_cell_length_b 5.783
_cell_length_c 7.927
_cell_angle_alpha 71.91
_cell_angle_beta 72.40
_cell_angle_gamma 73.02
loop_
_symmetry_equiv_pos_as_xyz
'x,y,z'
loop_
_atom_site_label
_atom_site_fract_x
_atom_site_fract_y
_atom_site_fract_z
Li1 0.000 0.000 0.000
Li2 0.123 0.398 0.132
Li3 0.433 0.764 0.692
Li4 0.567 0.236 0.308
Li5 0.877 0.602 0.868
Cu1 0.000 0.000 0.500
Cu2 0.108 0.337 0.616
Cu3 0.892 0.663 0.384
Te1 0.445 0.802 0.194
Te2 0.555 0.198 0.806
O1 0.114 0.045 0.245
O2 0.248 0.438 0.869
O3 0.251 0.541 0.276
O4 0.382 0.899 0.935
O5 0.471 0.189 0.590
O6 0.529 0.811 0.410
O7 0.618 0.101 0.065
O8 0.749 0.459 0.724
O9 0.752 0.562 0.131
O10 0.886 0.955 0.755
# SG   P-1
# Formation energy from raw total energies   -1.2690 eV/atom

---

# LiCuTeO4, relaxed, DFT GGA-PBE
data_LiCuTeO4
_chemical_formula_sum 'Li4 Cu4 Te4 O16'
_symmetry_space_group_name_H-M 'P 1'
_symmetry_Int_Tables_number 1
_cell_length_a 6.168
_cell_length_b 6.168
_cell_length_c 8.679
_cell_angle_alpha 90.00
_cell_angle_beta 90.00
_cell_angle_gamma 90.00
loop_
_symmetry_equiv_pos_as_xyz
'x,y,z'
loop_
_atom_site_label
_atom_site_fract_x
_atom_site_fract_y
_atom_site_fract_z
Li1 0.000 0.213 0.000
Li2 0.000 0.787 0.500
Li3 0.213 0.000 0.250
Li4 0.787 0.000 0.750
Cu1 0.244 0.244 0.625
Cu2 0.244 0.756 0.875
Cu3 0.756 0.244 0.375
Cu4 0.756 0.756 0.125
Te1 0.227 0.500 0.250
Te2 0.500 0.227 0.000
Te3 0.500 0.773 0.500
Te4 0.773 0.500 0.750
O1 0.025 0.265 0.249
O2 0.025 0.735 0.251
O3 0.265 0.025 0.001
O4 0.265 0.975 0.499
O5 0.269 0.484 0.017
O6 0.269 0.516 0.483
O7 0.484 0.269 0.233
O8 0.484 0.731 0.267
O9 0.516 0.269 0.767
O10 0.516 0.731 0.733
O11 0.731 0.484 0.983
O12 0.731 0.516 0.517
O13 0.735 0.025 0.999
O14 0.735 0.975 0.501
O15 0.975 0.265 0.751
O16 0.975 0.735 0.749
# SG   P4_322
# Formation energy from raw total energies   -1.0948 eV/atom
# E above lowest polymorph   0.000 eV per atom

---

# LiCu2TeO6, relaxed, DFT GGA-PBE
data_LiCu2TeO6
_chemical_formula_sum 'Li2 Cu4 Te2 O12'
_symmetry_space_group_name_H-M 'P 1'
_symmetry_Int_Tables_number 1
_cell_length_a 6.365
_cell_length_b 6.365
_cell_length_c 5.863
_cell_angle_alpha 94.38
_cell_angle_beta 94.38
_cell_angle_gamma 84.74
loop_
_symmetry_equiv_pos_as_xyz
'x,y,z'
loop_
_atom_site_label
_atom_site_fract_x
_atom_site_fract_y
_atom_site_fract_z
Li1 0.096 0.904 0.750
Li2 0.904 0.096 0.250
Cu1 0.178 0.324 0.966
Cu2 0.324 0.178 0.466
Cu3 0.676 0.822 0.534
Cu4 0.822 0.676 0.034
Te1 0.261 0.739 0.250
Te2 0.739 0.261 0.750
O1 0.041 0.223 0.680
O2 0.135 0.665 0.944
O3 0.223 0.041 0.180
O4 0.281 0.429 0.272
O5 0.335 0.865 0.556
O6 0.429 0.281 0.772
O7 0.571 0.719 0.228
O8 0.665 0.135 0.444
O9 0.719 0.571 0.728
O10 0.777 0.959 0.820
O11 0.865 0.335 0.056
O12 0.959 0.777 0.320
# SG   C2/c
# Formation energy from raw total energies   -0.8609 eV/atom

---

# Li4Cu3TeO8, relaxed, DFT GGA-PBE
data_Li4Cu3TeO8
_chemical_formula_sum 'Li4 Cu3 Te1 O8'
_symmetry_space_group_name_H-M 'P 1'
_symmetry_Int_Tables_number 1
_cell_length_a 5.976
_cell_length_b 5.976
_cell_length_c 5.976
_cell_angle_alpha 61.83
_cell_angle_beta 61.83
_cell_angle_gamma 61.83
loop_
_symmetry_equiv_pos_as_xyz
'x,y,z'
loop_
_atom_site_label
_atom_site_fract_x
_atom_site_fract_y
_atom_site_fract_z
Li1 0.000 0.000 0.000
Li2 0.000 0.500 0.500
Li3 0.500 0.000 0.500
Li4 0.500 0.500 0.000
Cu1 0.000 0.000 0.500
Cu2 0.000 0.500 0.000
Cu3 0.500 0.000 0.000
Te1 0.500 0.500 0.500
O1 0.228 0.228 0.228
O2 0.270 0.270 0.715
O3 0.270 0.715 0.270
O4 0.285 0.730 0.730
O5 0.715 0.270 0.270
O6 0.730 0.285 0.730
O7 0.730 0.730 0.285
O8 0.772 0.772 0.772
# SG   R-3m
# Formation energy from raw total energies   -1.1948 eV/atom

---

# Li3Cu4TeO8, relaxed, DFT GGA-PBE
data_Li3Cu4TeO8
_chemical_formula_sum 'Li3 Cu4 Te1 O8'
_symmetry_space_group_name_H-M 'P 1'
_symmetry_Int_Tables_number 1
_cell_length_a 5.927
_cell_length_b 5.927
_cell_length_c 6.646
_cell_angle_alpha 121.32
_cell_angle_beta 121.32
_cell_angle_gamma 66.54
loop_
_symmetry_equiv_pos_as_xyz
'x,y,z'
loop_
_atom_site_label
_atom_site_fract_x
_atom_site_fract_y
_atom_site_fract_z
Li1 0.000 0.000 0.000
Li2 0.000 0.500 0.500
Li3 0.500 0.000 0.500
Cu1 0.000 0.000 0.500
Cu2 0.000 0.500 0.000
Cu3 0.500 0.000 0.000
Cu4 0.500 0.500 0.000
Te1 0.500 0.500 0.500
O1 0.251 0.251 0.298
O2 0.251 0.251 0.813
O3 0.280 0.714 0.287
O4 0.286 0.720 0.713
O5 0.714 0.280 0.287
O6 0.720 0.286 0.713
O7 0.749 0.749 0.187
O8 0.749 0.749 0.702
# SG   C2/m
# Formation energy from raw total energies   -1.0259 eV/atom

---

# LiCuTeO4, relaxed, DFT GGA-PBE
data_LiCuTeO4
_chemical_formula_sum 'Li1 Cu1 Te1 O4'
_symmetry_space_group_name_H-M 'P 1'
_symmetry_Int_Tables_number 1
_cell_length_a 5.903
_cell_length_b 5.903
_cell_length_c 5.903
_cell_angle_alpha 133.48
_cell_angle_beta 133.48
_cell_angle_gamma 67.90
loop_
_symmetry_equiv_pos_as_xyz
'x,y,z'
loop_
_atom_site_label
_atom_site_fract_x
_atom_site_fract_y
_atom_site_fract_z
Li1 0.000 0.000 0.000
Cu1 0.250 0.750 0.500
Te1 0.500 0.500 0.000
O1 0.186 0.657 0.060
O2 0.343 0.403 0.529
O3 0.597 0.126 0.940
O4 0.874 0.814 0.471
# SG   I-4
# Formation energy from raw total energies   -0.9756 eV/atom
# E above lowest polymorph   0.119 eV per atom

---

Number 1: electronic total energy -60.8 eV/f.u.. Number 2: electronic total energy -82.5 eV/f.u.. Number 3: electronic total energy -103.1 eV/f.u.. Number 4: electronic total energy -36.6 eV/f.u.. Number 5: electronic total energy -51.6 eV/f.u.. Number 6: electronic total energy -81.9 eV/f.u.. Number 7: electronic total energy -81.3 eV/f.u.. Number 8: electronic total energy -35.8 eV/f.u..